# 1
The following is a DFT calculation (GGA-PBE) of an optimized crystal structure of K3SnHg12.

Output
* E_tot: -0.82 eV/atom
* space-group type: P4/mmm, No. 123
* size of the total moment: 0.00 μB per formula unit
* ΔE_f: -2.28 eV/f.u.
* volume: 29.876 Å³ per atom

abc: 5.0322 5.0322 18.8766
angles: 90.00 90.00 90.00
Last column: nearest neighbours and their distance in Å.
Sites, in units of the cell vectors:
K 0.0000 0.0000 0.2373  12 Hg 3.49-3.57
K 0.0000 0.0000 0.5000  12 Hg 3.54-3.56
K 0.0000 0.0000 0.7627  12 Hg 3.49-3.57
Sn 0.0000 0.0000 0.0000  12 Hg 3.26-3.56
Hg 0.5000 0.5000 0.0000  8 Hg 3.26, 4 Sn 3.56
Hg 0.5000 0.5000 0.2224  4 Hg 3.30, 4 K 3.57
Hg 0.5000 0.5000 0.5000  8 Hg 3.54, 4 K 3.56
Hg 0.5000 0.5000 0.7776  4 Hg 3.30, 4 K 3.57
Hg 0.5000 0.0000 0.1094  2 Sn 3.26, 8 Hg 3.26-3.56, 2 K 3.49
Hg 0.5000 0.0000 0.3683  4 K 3.53-3.54, 8 Hg 3.54-3.73
Hg 0.5000 0.0000 0.6317  4 K 3.53-3.54, 8 Hg 3.54-3.73
Hg 0.5000 0.0000 0.8906  2 Sn 3.26, 8 Hg 3.26-3.56, 2 K 3.49
Hg 0.0000 0.5000 0.1094  8 Hg 3.26-3.56, 2 Sn 3.26, 2 K 3.49
Hg 0.0000 0.5000 0.3683  4 K 3.53-3.54, 8 Hg 3.54-3.73
Hg 0.0000 0.5000 0.6317  4 K 3.53-3.54, 8 Hg 3.54-3.73
Hg 0.0000 0.5000 0.8906  8 Hg 3.26-3.56, 2 Sn 3.26, 2 K 3.49

=====

# 2
The following is a DFT calculation (GGA-PBE) of an optimized crystal structure of K2SnHg2.

Output
* E_tot: -1.62 eV/atom
* space-group type: C2/c, No. 15
* size of the total moment: 0.00 μB per formula unit
* relative energy among the computed polymorphs: 0.003 eV per atom
* ΔE_f: -1.28 eV/f.u.
* volume: 34.134 Å³ per atom

abc: 6.6912 6.6559 9.1030
angles: 101.31 90.00 120.18
Last column: nearest neighbours and their distance in Å.
Sites, in units of the cell vectors:
K 0.5224 0.2987 0.1512  6 Hg 3.52-3.64, 2 Sn 3.89-3.93
K 0.2237 0.7013 0.3488  6 Hg 3.52-3.64, 2 Sn 3.89-3.93
K 0.4776 0.7013 0.8488  6 Hg 3.52-3.64, 2 Sn 3.89-3.93
K 0.7763 0.2987 0.6512  6 Hg 3.52-3.64, 2 Sn 3.89-3.93
Sn 0.8611 0.0000 0.2500  4 Hg 3.00-3.07
Sn 0.1389 0.0000 0.7500  4 Hg 3.00-3.07
Hg 0.7361 0.7311 0.5049  2 Sn 3.00-3.07, 1 Hg 3.09
Hg 0.0050 0.2689 0.9951  2 Sn 3.00-3.07, 1 Hg 3.09
Hg 0.2639 0.2689 0.4951  2 Sn 3.00-3.07, 1 Hg 3.09
Hg 0.9950 0.7311 0.0049  2 Sn 3.00-3.07, 1 Hg 3.09

=====

# 3
The following is a DFT calculation (GGA-PBE) of an optimized crystal structure of K2Sn2Hg.

Output
* E_tot: -1.91 eV/atom
* space-group type: I4/mmm, No. 139
* size of the total moment: 0.00 μB per formula unit
* relative energy among the computed polymorphs: 0.374 eV per atom
* ΔE_f: 0.93 eV/f.u.
* volume: 36.603 Å³ per atom

abc: 4.8901 4.8901 8.3981
angles: 73.07 73.07 90.00
Last column: nearest neighbours and their distance in Å.
Sites, in units of the cell vectors:
K 0.7500 0.2500 0.5000  4 K 3.46, 4 Sn 3.49
K 0.2500 0.7500 0.5000  4 K 3.46, 4 Sn 3.49
Hg 0.0000 0.0000 0.0000  8 Sn 3.71
Sn 0.4124 0.4124 0.1752  1 Sn 2.68
Sn 0.5876 0.5876 0.8248  1 Sn 2.68